Density functional theory data (PBE-GGA) for a geometry-optimized Cs3Tl5In6 structure.

Cell lengths 5.127, 13.789, 14.834 Å; angles 90.00, 90.00, 90.00 degrees
Sites, in units of the cell vectors:
Cs 0.000 0.253 0.648
Cs 0.500 0.747 0.148
Cs 0.500 0.747 0.852
Cs 0.000 0.252 0.000
Cs 0.500 0.748 0.500
Cs 0.000 0.253 0.352
Tl 0.000 0.506 0.865
Tl 0.000 0.849 0.670
Tl 0.000 0.892 0.000
Tl 0.500 0.494 0.635
Tl 0.500 0.108 0.500
Tl 0.000 0.506 0.135
Tl 0.500 0.494 0.365
Tl 0.000 0.849 0.330
Tl 0.500 0.151 0.830
Tl 0.500 0.151 0.170
In 0.000 0.013 0.821
In 0.500 0.987 0.679
In 0.500 0.381 0.815
In 0.500 0.503 0.000
In 0.000 0.497 0.500
In 0.000 0.619 0.685
In 0.000 0.619 0.315
In 0.500 0.016 0.000
In 0.000 0.013 0.179
In 0.500 0.381 0.185
In 0.000 0.984 0.500
In 0.500 0.987 0.321

## Properties
space-group type	Pmmn
ΔE_f	-51	meV/atom

---

Density functional theory data (PBE-GGA) for a geometry-optimized Mg3Se5 structure.

Cell lengths 5.260, 5.260, 7.726 Å; angles 90.00, 90.00, 90.77 degrees
Sites, in units of the cell vectors:
Mg 0.500 0.500 0.000
Mg 0.760 0.240 0.500
Mg 0.240 0.760 0.500
Se 0.000 0.000 0.000
Se 0.000 0.500 0.000
Se 0.500 0.000 0.000
Se 0.259 0.259 0.500
Se 0.741 0.741 0.500

## Properties
space-group type	Cmmm
ΔE_f (raw)	-608.9	meV per atom
distance to the lowest polymorph of the same formula	204	meV per atom

---

Density functional theory data (PBE-GGA) for a geometry-optimized TaVCoTc structure.

Cell lengths 4.327, 4.327, 4.327 Å; angles 60.00, 60.00, 60.00 degrees
Last column: magnetic moment on the atom in μB.
Sites, in units of the cell vectors:
V 0.500 0.500 0.500  0.66
Co 0.250 0.250 0.250  1.13
Tc 0.750 0.750 0.750  -0.07
Ta 0.000 0.000 0.000  -0.03

## Properties
space-group type	F-43m
ΔE_f	-206	meV/atom

---

Density functional theory data (PBE-GGA) for a geometry-optimized PuSc2Sn structure.

Cell lengths 3.296, 3.296, 10.464 Å; angles 80.94, 80.94, 60.00 degrees
Last column: magnetic moment on the atom in μB.
Sites, in units of the cell vectors:
Sc 0.252 0.252 0.244  -0.01
Sc 0.748 0.748 0.756  -0.01
Sn 0.000 0.000 0.000  0.01
Pu 0.500 0.500 0.500  5.30

## Properties
space-group type	R-3m
distance to the lowest polymorph of the same formula	163	meV per atom
ΔE_f	-163	meV/atom

---

What did the fourth record say?
Density functional theory data (PBE-GGA) for a geometry-optimized PuSc2Sn structure.

Cell lengths 3.296, 3.296, 10.464 Å; angles 80.94, 80.94, 60.00 degrees
Last column: magnetic moment on the atom in μB.
Sites, in units of the cell vectors:
Sc 0.252 0.252 0.244  -0.01
Sc 0.748 0.748 0.756  -0.01
Sn 0.000 0.000 0.000  0.01
Pu 0.500 0.500 0.500  5.30

## Properties
space-group type	R-3m
distance to the lowest polymorph of the same formula	163	meV per atom
ΔE_f	-163	meV/atom